# CsNaTi2Pd

A relaxed CsNaTi2Pd crystal (GGA-PBE, Alexandria).

Summary:
Space group: P4/mmm, No. 123
Magnetic moment (μB per formula unit): 3.682
Calculated formation energy (eV per atom): 0.7651
Total energy (eV per atom): -3.866

a b c (Å): 4.920 6.700 4.920
angles (deg): 90.00 90.00 90.00
Sites, in units of the cell vectors:
1 Cs 0.000 0.500 0.000
2 Na 0.500 0.500 0.500
3 Pd 0.000 0.000 0.000
4 Ti 0.000 0.000 0.500
5 Ti 0.500 0.000 0.000